i.
## YEr2Al (PBE)

Data for a relaxed YEr2Al crystal.

Structure (POSCAR):
```
YEr2Al
1.0
3.507 0.000 0.000
0.000 3.507 0.000
0.000 0.000 8.937
Y Er Al
1 2 1
Direct
0.000 0.000 0.000
0.500 0.500 0.288
0.500 0.500 0.712
0.000 0.000 0.500
```

ii.
## YEr2Al (PBE)

Data for a relaxed YEr2Al crystal.

Structure (POSCAR):
```
YEr2Al
1.0
1.720 0.993 11.383
-1.720 0.993 11.383
0.000 -1.986 11.383
Y Er Al
1 2 1
Direct
0.000 0.000 0.000
0.100 0.100 0.100
0.900 0.900 0.900
0.500 0.500 0.500
```

iii.
## YEr2Al (PBE)

Data for a relaxed YEr2Al crystal.

Structure (POSCAR):
```
YEr2Al
1.0
1.781 1.028 10.352
-1.781 1.028 10.352
0.000 -2.056 10.352
Y Er Al
1 2 1
Direct
0.000 0.000 0.000
0.240 0.240 0.240
0.428 0.428 0.428
0.834 0.834 0.834
```

Here are the energies relative to the best structure, in eV/atom: i 0.000; ii 0.302; iii 0.115.